A relaxed AgIrBr6 crystal. Source: the Alexandria database, functional PBE-GGA.

The space group is C2/m (No. 12) and the conventional cell measures 8.505, 9.261 and 6.993 Å, with angles of 90.00, 101.16 and 90.00 degrees. The asymmetric unit holds Ag at (0.000, 0.000, 0.000), Ir at (0.000, 0.000, 0.500), Br at (0.092, 0.186, 0.759) and Br at (0.232, 0.500, 0.591).

The energy above the lowest structure with this stoichiometry comes out at 0.00 eV per formula unit. The total energy is -2.896 eV/atom. The calculation puts the raw formation energy at -178 meV per atom.

A relaxed AgIr2Br crystal. Source: the Alexandria database, functional PBE-GGA.

The space group is Pmm2 (No. 25) and the conventional cell measures 2.716, 3.849 and 8.302 Å, with angles of 90.00, 90.00 and 90.00 degrees. The asymmetric unit holds Ag at (0.000, 0.000, 0.000), Ir at (0.000, 0.000, 0.652), Ir at (0.500, 0.500, 0.766) and Br at (0.500, 0.500, 0.258).

The energy above the lowest structure with this stoichiometry comes out at 0.27 eV per formula unit. The total energy is -5.048 eV/atom. The calculation puts the raw formation energy at 513 meV per atom.

A relaxed Ag2IrBr4 crystal. Source: the Alexandria database, functional PBE-GGA.

The space group is I-42m (No. 121) and the conventional cell measures 6.965, 6.965 and 7.898 Å, with angles of 90.00, 90.00 and 90.00 degrees. The asymmetric unit holds Ag at (0.000, 0.500, 0.250), Ir at (0.000, 0.000, 0.000) and Br at (0.243, 0.243, 0.933).

The total energy is -3.009 eV/atom. The calculation puts the raw formation energy at 28 meV per atom.

A relaxed AgIr2Br crystal. Source: the Alexandria database, functional PBE-GGA.

The space group is P2/m (No. 10) and the conventional cell measures 2.912, 4.695 and 5.195 Å, with angles of 90.00, 100.71 and 90.00 degrees. The asymmetric unit holds Ag at (0.000, 0.000, 0.000), Ir at (0.353, 0.500, 0.227) and Br at (0.500, 0.000, 0.500).

The energy above the lowest structure with this stoichiometry comes out at 1.64 eV per formula unit. The total energy is -4.705 eV/atom. The calculation puts the raw formation energy at 857 meV per atom.

A relaxed AgIr2Br crystal. Source: the Alexandria database, functional PBE-GGA.

The space group is Cmmm (No. 65) and the conventional cell measures 2.816, 5.109 and 9.363 Å, with angles of 90.00, 90.00 and 90.00 degrees. The asymmetric unit holds Ag at (0.000, 0.000, 0.000), Ir at (0.000, 0.500, 0.257) and Br at (0.000, 0.000, 0.500).

The energy above the lowest structure with this stoichiometry comes out at 1.69 eV per formula unit. The total energy is -4.693 eV/atom. The calculation puts the raw formation energy at 869 meV per atom.

A relaxed AgIr2Br crystal. Source: the Alexandria database, functional PBE-GGA.

The space group is Pm (No. 6) and the conventional cell measures 2.851, 3.573 and 7.460 Å, with angles of 90.00, 90.16 and 90.00 degrees. The asymmetric unit holds Ag at (0.000, 0.000, 0.000), Ir at (0.498, 0.500, 0.760), Ir at (0.997, 0.000, 0.597) and Br at (0.994, 0.500, 0.321).

The energy above the lowest structure with this stoichiometry comes out at 0.00 eV per formula unit. The total energy is -5.116 eV/atom. The calculation puts the raw formation energy at 446 meV per atom.

A relaxed AgIr2Br crystal. Source: the Alexandria database, functional PBE-GGA.

The space group is Cmm2 (No. 35) and the conventional cell measures 2.818, 4.994 and 10.043 Å, with angles of 90.00, 90.00 and 90.00 degrees. The asymmetric unit holds Ag at (0.000, 0.000, 0.000), Ir at (0.000, 0.000, 0.460), Ir at (0.000, 0.500, 0.245) and Br at (0.000, 0.500, 0.714).

The energy above the lowest structure with this stoichiometry comes out at 0.87 eV per formula unit. The total energy is -4.898 eV/atom. The calculation puts the raw formation energy at 664 meV per atom.

A relaxed AgIr2Br crystal. Source: the Alexandria database, functional PBE-GGA.

The space group is Cmmm (No. 65) and the conventional cell measures 5.814, 7.970 and 2.883 Å, with angles of 90.00, 90.00 and 90.00 degrees. The asymmetric unit holds Ag at (0.000, 0.000, 0.000), Ir at (0.250, 0.250, 0.500) and Br at (0.000, 0.500, 0.000).

The energy above the lowest structure with this stoichiometry comes out at 2.54 eV per formula unit. The total energy is -4.481 eV/atom. The calculation puts the raw formation energy at 1081 meV per atom.

A relaxed AgIr2Br crystal. Source: the Alexandria database, functional PBE-GGA.

The space group is I-42d (No. 122) and the conventional cell measures 7.380, 7.380 and 5.329 Å, with angles of 90.00, 90.00 and 90.00 degrees. The asymmetric unit holds Ag at (0.000, 0.000, 0.000), Ir at (0.212, 0.250, 0.625) and Br at (0.000, 0.000, 0.500).

The energy above the lowest structure with this stoichiometry comes out at 2.96 eV per formula unit. The total energy is -4.376 eV/atom. The calculation puts the raw formation energy at 1185 meV per atom.

A relaxed AgIr2Br crystal. Source: the Alexandria database, functional PBE-GGA.

The space group is I4/mmm (No. 139) and the conventional cell measures 4.155, 4.155 and 7.758 Å, with angles of 90.00, 90.00 and 90.00 degrees. The asymmetric unit holds Ag at (0.000, 0.000, 0.000), Ir at (0.000, 0.500, 0.250) and Br at (0.000, 0.000, 0.500).

The energy above the lowest structure with this stoichiometry comes out at 2.86 eV per formula unit. The total energy is -4.400 eV/atom. The calculation puts the raw formation energy at 1161 meV per atom.

A relaxed AgIrBr5 crystal. Source: the Alexandria database, functional PBE-GGA.

The space group is C2/c (No. 15) and the conventional cell measures 13.578, 7.024 and 9.326 Å, with angles of 90.00, 104.44 and 90.00 degrees. The asymmetric unit holds Ag at (0.000, 0.036, 0.250), Ir at (0.000, 0.500, 0.000), Br at (0.000, 0.355, 0.750), Br at (0.108, 0.213, 0.485) and Br at (0.156, 0.318, 0.109).

The total energy is -3.023 eV/atom. The calculation puts the raw formation energy at -155 meV per atom.

A relaxed AgIr3Br crystal. Source: the Alexandria database, functional PBE-GGA.

The space group is Pm-3m (No. 221) and the conventional cell measures 4.926, 4.926 and 4.926 Å, with angles of 90.00, 90.00 and 90.00 degrees. The asymmetric unit holds Ag at (0.000, 0.000, 0.000), Ir at (0.000, 0.000, 0.500) and Br at (0.500, 0.500, 0.500).

The energy above the lowest structure with this stoichiometry comes out at 3.67 eV per formula unit. The total energy is -3.685 eV/atom. The calculation puts the raw formation energy at 2537 meV per atom.

A relaxed AgIr2Br crystal. Source: the Alexandria database, functional PBE-GGA.

The space group is R3m (No. 160, hexagonal axes) and the conventional cell measures 2.9691, 2.9691 and 27.4399 Å, with angles of 90.00, 90.00 and 120.00 degrees. The asymmetric unit holds Ag at (0.0000, 0.0000, 0.0000), Ir at (0.0000, 0.0000, 0.2494), Ir at (0.0000, 0.0000, 0.5100) and Br at (0.0000, 0.0000, 0.7651).

The energy above the lowest structure with this stoichiometry comes out at 0.52 eV per formula unit. The total energy is -4.986 eV/atom. The calculation puts the raw formation energy at 576 meV per atom.

A relaxed AgIrBr6 crystal. Source: the Alexandria database, functional PBE-GGA.

The space group is P-1 (No. 2) and the conventional cell measures 6.524, 6.528 and 7.022 Å, with angles of 117.52, 90.10 and 119.95 degrees. The asymmetric unit holds Ag at (0.000, 0.000, 0.000), Ir at (0.500, 0.000, 0.500), Br at (0.094, 0.815, 0.262), Br at (0.279, 0.831, 0.738) and Br at (0.448, 0.542, 0.263).

The energy above the lowest structure with this stoichiometry comes out at 0.22 eV per formula unit. The total energy is -2.869 eV/atom. The calculation puts the raw formation energy at -150 meV per atom.

A relaxed AgIr2Br crystal. Source: the Alexandria database, functional PBE-GGA.

The space group is Imm2 (No. 44) and the conventional cell measures 2.876, 4.907 and 9.958 Å, with angles of 90.00, 90.00 and 90.00 degrees. The asymmetric unit holds Ag at (0.000, 0.000, 0.000), Ir at (0.000, 0.000, 0.520), Ir at (0.000, 0.500, 0.237) and Br at (0.000, 0.500, 0.794).

The energy above the lowest structure with this stoichiometry comes out at 1.67 eV per formula unit. The total energy is -4.698 eV/atom. The calculation puts the raw formation energy at 863 meV per atom.

A relaxed AgIr2Br crystal. Source: the Alexandria database, functional PBE-GGA.

The space group is P4/mmm (No. 123) and the conventional cell measures 3.870, 3.870 and 4.747 Å, with angles of 90.00, 90.00 and 90.00 degrees. The asymmetric unit holds Ag at (0.000, 0.000, 0.000), Ir at (0.000, 0.500, 0.500) and Br at (0.500, 0.500, 0.000).

The energy above the lowest structure with this stoichiometry comes out at 2.88 eV per formula unit. The total energy is -4.395 eV/atom. The calculation puts the raw formation energy at 1166 meV per atom.

A relaxed Ag4IrBr crystal. Source: the Alexandria database, functional PBE-GGA.

The space group is F-43m (No. 216) and the conventional cell measures 7.733, 7.733 and 7.733 Å, with angles of 90.00, 90.00 and 90.00 degrees. The asymmetric unit holds Ag at (0.124, 0.124, 0.376), Ir at (0.250, 0.250, 0.750) and Br at (0.000, 0.000, 0.000).

The total energy is -2.967 eV/atom. The calculation puts the raw formation energy at 690 meV per atom.

A relaxed AgIr2Br crystal. Source: the Alexandria database, functional PBE-GGA.

The space group is P4/mmm (No. 123) and the conventional cell measures 2.957, 2.957 and 7.547 Å, with angles of 90.00, 90.00 and 90.00 degrees. The asymmetric unit holds Ag at (0.000, 0.000, 0.000), Ir at (0.500, 0.500, 0.263) and Br at (0.000, 0.000, 0.500).

The energy above the lowest structure with this stoichiometry comes out at 2.25 eV per formula unit. The total energy is -4.553 eV/atom. The calculation puts the raw formation energy at 1008 meV per atom.

A relaxed AgIr2Br crystal. Source: the Alexandria database, functional PBE-GGA.

The space group is F-43m (No. 216) and the conventional cell measures 6.503, 6.503 and 6.503 Å, with angles of 90.00, 90.00 and 90.00 degrees. The asymmetric unit holds Ag at (0.000, 0.000, 0.000), Ir at (0.000, 0.000, 0.500), Ir at (0.250, 0.250, 0.750) and Br at (0.250, 0.250, 0.250).

The energy above the lowest structure with this stoichiometry comes out at 2.57 eV per formula unit. The total energy is -4.472 eV/atom. The calculation puts the raw formation energy at 1089 meV per atom.

A relaxed KAgIrBr6 crystal. Source: the Alexandria database, functional PBE-GGA.

The space group is P312 (No. 149) and the conventional cell measures 7.0782, 7.0782 and 6.9920 Å, with angles of 90.00, 90.00 and 120.00 degrees. The asymmetric unit holds K at (0.0000, 0.0000, 0.0000), Ag at (0.3333, 0.6667, 0.5000), Ir at (0.6667, 0.3333, 0.5000) and Br at (0.3862, 0.0365, 0.7056).

The total energy is -3.098 eV/atom. The calculation puts the raw formation energy at -560 meV per atom.

A relaxed La2AgIrBr crystal. Source: the Alexandria database, functional PBE-GGA.

The space group is P4/mmm (No. 123) and the conventional cell measures 5.477, 5.477 and 5.239 Å, with angles of 90.00, 90.00 and 90.00 degrees. The asymmetric unit holds La at (0.000, 0.500, 0.000), Ag at (0.000, 0.000, 0.500), Ir at (0.000, 0.000, 0.000) and Br at (0.500, 0.500, 0.500).

The total energy is -5.234 eV/atom. The calculation puts the raw formation energy at -586 meV per atom.

A relaxed La8AgIr3Br4 crystal. Source: the Alexandria database, functional PBE-GGA.

The space group is R-3m (No. 166, hexagonal axes) and the conventional cell measures 8.5353, 8.5353 and 23.7134 Å, with angles of 90.00, 90.00 and 120.00 degrees. The asymmetric unit holds La at (0.0000, 0.0000, 0.2325), La at (0.0184, 0.5092, 0.7671), Ag at (0.0000, 0.0000, 0.5000), Ir at (0.0000, 0.5000, 0.5000), Br at (0.0000, 0.0000, 0.0000) and Br at (0.0000, 0.5000, 0.0000).

The total energy is -5.835 eV/atom. The calculation puts the raw formation energy at -1114 meV per atom.

A relaxed NaAgIrBr6 crystal. Source: the Alexandria database, functional PBE-GGA.

The space group is P-31c (No. 163) and the conventional cell measures 7.0121, 7.0121 and 11.8284 Å, with angles of 90.00, 90.00 and 120.00 degrees. The asymmetric unit holds Na at (0.3333, 0.6667, 0.2500), Ag at (0.0000, 0.0000, 0.0000), Ir at (0.3333, 0.6667, 0.7500) and Br at (0.0427, 0.3760, 0.6260).

The total energy is -3.048 eV/atom. The calculation puts the raw formation energy at -484 meV per atom.

A relaxed NaAg2IrBr6 crystal. Source: the Alexandria database, functional PBE-GGA.

The space group is R3 (No. 146, hexagonal axes) and the conventional cell measures 7.1428, 7.1428 and 18.6177 Å, with angles of 90.00, 90.00 and 120.00 degrees. The asymmetric unit holds Na at (0.0000, 0.0000, 0.0000), Ag at (0.0000, 0.0000, 0.2658), Ag at (0.0000, 0.0000, 0.7990), Ir at (0.0000, 0.0000, 0.4844), Br at (0.0049, 0.7210, 0.4041) and Br at (0.0200, 0.3022, 0.5610).

The total energy is -3.089 eV/atom. The calculation puts the raw formation energy at -497 meV per atom.

A relaxed Nd6AgIr2Br3 crystal. Source: the Alexandria database, functional PBE-GGA.

The space group is C2/m (No. 12) and the conventional cell measures 7.326, 12.701 and 8.170 Å, with angles of 90.00, 107.33 and 90.00 degrees. The asymmetric unit holds Nd at (0.209, 0.000, 0.200), Nd at (0.245, 0.322, 0.200), Ag at (0.000, 0.500, 0.000), Ir at (0.000, 0.167, 0.000), Br at (0.000, 0.000, 0.500) and Br at (0.000, 0.332, 0.500).

The total energy is -5.483 eV/atom. The calculation puts the raw formation energy at -967 meV per atom.

The records above yield theoretical density values of 4.790 10.948 6.306 13.612 14.110 12.506 13.446 14.223 13.097 14.190 5.394 10.619 13.607 5.910 13.521 13.367 10.106 14.397 13.818 4.480 6.949 7.044 5.291 5.513 7.311 g cm⁻³, respectively.